Entry 1:
This record from the Alexandria database describes a relaxed SiP2RuO crystal. The functional is PBE-GGA.

Cell lengths 4.7614, 4.7614, 3.6400 Å; angles 90.00, 90.00, 90.00 degrees
Last column: nearest neighbours and their distance in Å.
Fractional coordinates of all 5 atoms:
Si 0.0000 0.0000 0.0000  8 P 3.00
P 0.0000 0.5000 0.5000  2 Ru 2.38
P 0.5000 0.0000 0.5000  2 Ru 2.38
Ru 0.5000 0.5000 0.5000  2 O 1.82
O 0.5000 0.5000 0.0000  2 Ru 1.82

Raw formation energy: 317.6 meV per atom
Density: 4.17 g cm⁻³
Symmetry: P4/mmm
Relative energy among the computed polymorphs: 281.1 meV per atom
DOS(E_F): 4.82 states/eV per cell
Total DFT energy (no corrections): -28.89 eV/cell

=====

Entry 2:
This record from the Alexandria database describes a relaxed SnP2RuO crystal. The functional is PBE-GGA.

Cell lengths 5.1029, 5.1029, 3.9061 Å; angles 90.00, 90.00, 90.00 degrees
Last column: nearest neighbours and their distance in Å.
Fractional coordinates of all 5 atoms:
Sn 0.0000 0.0000 0.0000  2 O 1.95
P 0.0000 0.5000 0.0000  2 Sn 2.55
P 0.5000 0.0000 0.0000  2 Sn 2.55
Ru 0.5000 0.5000 0.5000  8 P 3.21
O 0.0000 0.0000 0.5000  2 Sn 1.95

Raw formation energy: 969.8 meV per atom
Density: 4.86 g cm⁻³
Symmetry: P4/mmm
Relative energy among the computed polymorphs: 935.9 meV per atom
DOS(E_F): 6.62 states/eV per cell
Total DFT energy (no corrections): -24.21 eV/cell

=====

Entry 3:
This record from the Alexandria database describes a relaxed SnP2RuO crystal. The functional is PBE-GGA.

Cell lengths 4.9435, 4.9435, 3.7281 Å; angles 90.00, 90.00, 90.00 degrees
Last column: nearest neighbours and their distance in Å.
Fractional coordinates of all 5 atoms:
Sn 0.0000 0.0000 0.0000  8 P 3.10
P 0.0000 0.5000 0.5000  2 Ru 2.47
P 0.5000 0.0000 0.5000  2 Ru 2.47
Ru 0.5000 0.5000 0.5000  2 O 1.86
O 0.5000 0.5000 0.0000  2 Ru 1.86

Raw formation energy: 33.9 meV per atom
Density: 5.43 g cm⁻³
Symmetry: P4/mmm
Relative energy among the computed polymorphs: 0.0 meV per atom
DOS(E_F): 5.92 states/eV per cell
Total DFT energy (no corrections): -28.89 eV/cell

=====

Entry 4:
This record from the Alexandria database describes a relaxed TaPRuO2 crystal. The functional is PBE-GGA.

Cell lengths 3.7359, 3.7359, 5.2791 Å; angles 90.00, 90.00, 90.00 degrees
Last column: nearest neighbours and their distance in Å.
Fractional coordinates of all 5 atoms:
Ta 0.0000 0.0000 0.0000  4 P 2.64
P 0.5000 0.5000 0.0000  2 Ru 2.64, 4 Ta 2.64
Ru 0.5000 0.5000 0.5000  4 O 1.87
O 0.0000 0.5000 0.5000  2 Ru 1.87
O 0.5000 0.0000 0.5000  2 Ru 1.87

Raw formation energy: -37.3 meV per atom
Density: 7.77 g cm⁻³
Symmetry: P4/mmm
Relative energy among the computed polymorphs: 851.4 meV per atom
DOS(E_F): 6.84 states/eV per cell
Total DFT energy (no corrections): -36.64 eV/cell

=====

Entry 5:
This record from the Alexandria database describes a relaxed TaPRuO2 crystal. The functional is PBE-GGA.

Cell lengths 3.8190, 3.8190, 5.4274 Å; angles 90.00, 90.00, 90.00 degrees
Last column: nearest neighbours and their distance in Å.
Fractional coordinates of all 5 atoms:
Ta 0.0000 0.0000 0.0000  4 O 1.91
P 0.0000 0.0000 0.5000  4 Ru 2.70, 2 Ta 2.71
Ru 0.5000 0.5000 0.5000  4 P 2.70
O 0.0000 0.5000 0.0000  2 Ta 1.91
O 0.5000 0.0000 0.0000  2 Ta 1.91

Raw formation energy: -888.7 meV per atom
Density: 7.24 g cm⁻³
Symmetry: P4/mmm
Relative energy among the computed polymorphs: 0.0 meV per atom
DOS(E_F): 3.97 states/eV per cell
Total DFT energy (no corrections): -40.90 eV/cell

=====

Entry 6:
This record from the Alexandria database describes a relaxed TbPRuO crystal. The functional is PBE-GGA.

Cell lengths 3.9992, 3.9992, 7.9650 Å; angles 90.00, 90.00, 90.00 degrees
Last column: nearest neighbours and their distance in Å.
Fractional coordinates of all 8 atoms:
Tb 0.2500 0.2500 0.1359  4 O 2.27
Tb 0.7500 0.7500 0.8641  4 O 2.27
P 0.2500 0.2500 0.6497  4 Ru 2.33
P 0.7500 0.7500 0.3503  4 Ru 2.33
Ru 0.2500 0.7500 0.5000  4 P 2.33
Ru 0.7500 0.2500 0.5000  4 P 2.33
O 0.2500 0.7500 0.0000  4 Tb 2.27
O 0.7500 0.2500 0.0000  4 Tb 2.27

Raw formation energy: -2049.6 meV per atom
Density: 8.00 g cm⁻³
Symmetry: P4/nmm
DOS(E_F): 3.65 states/eV per cell
Total DFT energy (no corrections): -64.95 eV/cell

=====

Entry 7:
This record from the Alexandria database describes a relaxed TcP2RuO crystal. The functional is PBE-GGA.

Cell lengths 4.7193, 4.7193, 3.6207 Å; angles 90.00, 90.00, 90.00 degrees
Last column: nearest neighbours and their distance in Å.
Fractional coordinates of all 5 atoms:
Tc 0.0000 0.0000 0.0000  2 O 1.81
P 0.0000 0.5000 0.0000  2 Tc 2.36
P 0.5000 0.0000 0.0000  2 Tc 2.36
Ru 0.5000 0.5000 0.5000  8 P 2.97
O 0.0000 0.0000 0.5000  2 Tc 1.81

Raw formation energy: 372.2 meV per atom
Density: 5.70 g cm⁻³
Symmetry: P4/mmm
Relative energy among the computed polymorphs: 0.0 meV per atom
DOS(E_F): 4.51 states/eV per cell
Total DFT energy (no corrections): -33.56 eV/cell

=====

Entry 8:
This record from the Alexandria database describes a relaxed TcP2RuO crystal. The functional is PBE-GGA.

Cell lengths 4.7405, 4.7405, 3.6064 Å; angles 90.00, 90.00, 90.00 degrees
Last column: nearest neighbours and their distance in Å.
Fractional coordinates of all 5 atoms:
Tc 0.0000 0.0000 0.0000  8 P 2.98
P 0.0000 0.5000 0.5000  2 Ru 2.37
P 0.5000 0.0000 0.5000  2 Ru 2.37
Ru 0.5000 0.5000 0.5000  2 O 1.80
O 0.5000 0.5000 0.0000  2 Ru 1.80

Raw formation energy: 490.4 meV per atom
Density: 5.68 g cm⁻³
Symmetry: P4/mmm
Relative energy among the computed polymorphs: 118.3 meV per atom
DOS(E_F): 4.53 states/eV per cell
Total DFT energy (no corrections): -32.97 eV/cell

=====

Entry 9:
This record from the Alexandria database describes a relaxed TePRuO2 crystal. The functional is PBE-GGA.

Cell lengths 3.8608, 3.8608, 5.6177 Å; angles 90.00, 90.00, 90.00 degrees
Last column: nearest neighbours and their distance in Å.
Fractional coordinates of all 5 atoms:
Te 0.0000 0.0000 0.0000  4 O 1.93
P 0.0000 0.0000 0.5000  4 Ru 2.73, 2 Te 2.81
Ru 0.5000 0.5000 0.5000  4 P 2.73
O 0.0000 0.5000 0.0000  2 Te 1.93
O 0.5000 0.0000 0.0000  2 Te 1.93

Raw formation energy: 341.3 meV per atom
Density: 5.78 g cm⁻³
Symmetry: P4/mmm
Relative energy among the computed polymorphs: 588.5 meV per atom
DOS(E_F): 6.20 states/eV per cell
Total DFT energy (no corrections): -26.04 eV/cell

=====

Entry 10:
This record from the Alexandria database describes a relaxed TePRuO2 crystal. The functional is PBE-GGA.

Cell lengths 3.7909, 3.7909, 5.5960 Å; angles 90.00, 90.00, 90.00 degrees
Last column: nearest neighbours and their distance in Å.
Fractional coordinates of all 5 atoms:
Te 0.0000 0.0000 0.0000  4 P 2.68
P 0.5000 0.5000 0.0000  4 Te 2.68, 2 Ru 2.80
Ru 0.5000 0.5000 0.5000  4 O 1.90
O 0.0000 0.5000 0.5000  2 Ru 1.90
O 0.5000 0.0000 0.5000  2 Ru 1.90

Raw formation energy: -247.2 meV per atom
Density: 6.02 g cm⁻³
Symmetry: P4/mmm
Relative energy among the computed polymorphs: 0.0 meV per atom
DOS(E_F): 4.54 states/eV per cell
Total DFT energy (no corrections): -28.98 eV/cell

=====

Entry 11:
This record from the Alexandria database describes a relaxed TeP2RuO crystal. The functional is PBE-GGA.

Cell lengths 5.0112, 5.0112, 3.8162 Å; angles 90.00, 90.00, 90.00 degrees
Last column: nearest neighbours and their distance in Å.
Fractional coordinates of all 5 atoms:
Te 0.0000 0.0000 0.0000  2 O 1.91
P 0.0000 0.5000 0.0000  2 Te 2.51
P 0.5000 0.0000 0.0000  2 Te 2.51
Ru 0.5000 0.5000 0.5000  8 P 3.15
O 0.0000 0.0000 0.5000  2 Te 1.91

Raw formation energy: 1055.4 meV per atom
Density: 5.31 g cm⁻³
Symmetry: P4/mmm
Relative energy among the computed polymorphs: 1008.2 meV per atom
DOS(E_F): 6.58 states/eV per cell
Total DFT energy (no corrections): -22.92 eV/cell

=====

Entry 12:
This record from the Alexandria database describes a relaxed TeP2RuO crystal. The functional is PBE-GGA.

Cell lengths 4.8166, 4.8166, 3.7345 Å; angles 90.00, 90.00, 90.00 degrees
Last column: nearest neighbours and their distance in Å.
Fractional coordinates of all 5 atoms:
Te 0.0000 0.0000 0.0000  8 P 3.05, 4 O 3.41
P 0.0000 0.5000 0.5000  2 Ru 2.41
P 0.5000 0.0000 0.5000  2 Ru 2.41
Ru 0.5000 0.5000 0.5000  2 O 1.87
O 0.5000 0.5000 0.0000  2 Ru 1.87

Raw formation energy: 47.1 meV per atom
Density: 5.88 g cm⁻³
Symmetry: P4/mmm
Relative energy among the computed polymorphs: 0.0 meV per atom
DOS(E_F): 3.12 states/eV per cell
Total DFT energy (no corrections): -27.96 eV/cell